Density functional theory data (PBE) for Ce2NdS3 after structural relaxation.

Summary:
spin magnetization	1.1	Bohr magnetons per cell
DOS at the Fermi energy	10.2	states/eV per cell
ΔE_f (raw)	-2.041	eV per atom
VASP energy	-0.2527	Ha/atom

abc: 6.9876 6.9876 6.9876
angles: 146.43 131.77 60.05
With the nearest neighbours (Å) after each atom.
Element x y z (fractional)
Ce  0.1652  0.1652  0.0000  6 S 2.84-2.86
Ce  0.8348  0.8348  0.0000  6 S 2.84-2.86
Nd  0.5000  0.5000  0.0000  6 S 2.86-2.87
S  0.0000  0.5000  0.5000  4 Ce 2.84, 2 Nd 2.86
S  0.3312  0.8312  0.5000  4 Ce 2.85-2.86, 2 Nd 2.87
S  0.6688  0.1688  0.5000  4 Ce 2.85-2.86, 2 Nd 2.87